A geometry-optimized VPbF5 structure. Source: the Alexandria database, functional PBE with a Hubbard U.

Computed properties:
- spin magnetization (μB per formula unit) = 2.00
- raw total energy (eV for the cell shown) = -39.21

Unit cell a=4.084 b=5.925 c=5.925 alpha=71.89 beta=69.83 gamma=69.83
Atoms (fractional coordinates):
V1 0.000 0.000 0.000
Pb1 0.500 0.500 0.500
F1 0.777 0.222 0.222
F2 0.000 0.285 0.715
F3 0.500 0.000 0.000
F4 0.000 0.715 0.285
F5 0.223 0.778 0.778